{"formula": "NbCrIr3", "functional": "PBE", "state": "relaxed", "lattice": [[4.4639, 0.0000, 0.0000], [0.0000, 4.4639, 0.0000], [0.0000, 0.0000, 4.4639]], "species": ["Nb", "Cr", "Ir", "Ir", "Ir"], "frac_coords": [[0.0000, 0.0000, 0.0000], [0.5000, 0.5000, 0.5000], [0.0000, 0.5000, 0.5000], [0.5000, 0.0000, 0.5000], [0.5000, 0.5000, 0.0000]], "e_tot_ev_per_atom": -8.162, "formation_enthalpy_0k_mev_per_atom": 1093, "m_tot_mub_per_cell": 1.3}